Entry 1:
# TcP2PbO, optimized geometry, DFT PBEsol
data_TcP2PbO
_space_group_name_H-M_alt 'P 1'
_space_group_IT_number 1
_cell_length_a 4.0196
_cell_length_b 5.0981
_cell_length_c 5.0981
_cell_angle_alpha 90.00
_cell_angle_beta 90.00
_cell_angle_gamma 90.00
loop_
_space_group_symop_operation_xyz
'x,y,z'
loop_
_atom_site_label
_atom_site_type_symbol
_atom_site_fract_x
_atom_site_fract_y
_atom_site_fract_z
Pb1 Pb 0.0000 0.0000 0.0000
P1 P 0.0000 0.0000 0.5000
P2 P 0.0000 0.5000 0.0000
Tc1 Tc 0.5000 0.5000 0.5000
O1 O 0.5000 0.0000 0.0000
# - ΔE_f (raw): 1413 meV/atom
# - D(E_F): 0.64 states/eV/atom
# - Electronic total energy: -25.03 eV/f.u.
# - Calculated volume: 104 Å³/f.u.

Entry 2:
# Zn3Te2P2Pb2O14, optimized geometry, DFT PBEsol
data_Zn3Te2P2Pb2O14
_space_group_name_H-M_alt 'P 1'
_space_group_IT_number 1
_cell_length_a 5.2715
_cell_length_b 7.8142
_cell_length_c 15.1907
_cell_angle_alpha 90.00
_cell_angle_beta 89.77
_cell_angle_gamma 90.00
loop_
_space_group_symop_operation_xyz
'x,y,z'
loop_
_atom_site_label
_atom_site_type_symbol
_atom_site_fract_x
_atom_site_fract_y
_atom_site_fract_z
Zn1 Zn 0.9854 0.6158 0.3868
Zn2 Zn 0.0146 0.1158 0.1132
Zn3 Zn 0.0146 0.3842 0.6132
Zn4 Zn 0.9854 0.8842 0.8868
Zn5 Zn 0.0000 0.5000 0.0000
Zn6 Zn 0.0000 0.0000 0.5000
Te1 Te 0.5090 0.7202 0.5155
Te2 Te 0.4910 0.2202 0.9845
Te3 Te 0.4910 0.2798 0.4845
Te4 Te 0.5090 0.7798 0.0155
P1 P 0.9590 0.7411 0.1920
P2 P 0.0410 0.2411 0.3080
P3 P 0.0410 0.2589 0.8080
P4 P 0.9590 0.7589 0.6920
Pb1 Pb 0.4993 0.9423 0.3045
Pb2 Pb 0.5007 0.4423 0.1955
Pb3 Pb 0.5007 0.0577 0.6955
Pb4 Pb 0.4993 0.5577 0.8045
O1 O 0.8108 0.6976 0.2792
O2 O 0.1892 0.1976 0.2208
O3 O 0.1892 0.3024 0.7208
O4 O 0.8108 0.8024 0.7792
O5 O 0.2465 0.7493 0.2085
O6 O 0.7535 0.2493 0.2915
O7 O 0.7535 0.2507 0.7915
O8 O 0.2465 0.7507 0.7085
O9 O 0.8953 0.5991 0.1247
O10 O 0.1047 0.0991 0.3753
O11 O 0.1047 0.4009 0.8753
O12 O 0.8953 0.9009 0.6247
O13 O 0.1568 0.4131 0.3398
O14 O 0.8432 0.9131 0.1602
O15 O 0.8432 0.5869 0.6602
O16 O 0.1568 0.0869 0.8398
O17 O 0.7081 0.8852 0.4488
O18 O 0.2919 0.3852 0.0512
O19 O 0.2919 0.1148 0.5512
O20 O 0.7081 0.6148 0.9488
O21 O 0.7004 0.5401 0.4592
O22 O 0.2996 0.0401 0.0408
O23 O 0.2996 0.4599 0.5408
O24 O 0.7004 0.9599 0.9592
O25 O 0.2424 0.7672 0.4333
O26 O 0.7576 0.2672 0.0667
O27 O 0.7576 0.2328 0.5667
O28 O 0.2424 0.7328 0.9333
# - ΔE_f (raw): -1626 meV/atom
# - D(E_F): 0.00 states/eV/atom
# - Electronic total energy: -142.26 eV/f.u.
# - Calculated volume: 313 Å³/f.u.

Entry 3:
# Th4P6PbO24, optimized geometry, DFT PBEsol
data_Th4P6PbO24
_space_group_name_H-M_alt 'P 1'
_space_group_IT_number 1
_cell_length_a 6.8535
_cell_length_b 8.1299
_cell_length_c 9.3822
_cell_angle_alpha 100.57
_cell_angle_beta 111.42
_cell_angle_gamma 90.05
loop_
_space_group_symop_operation_xyz
'x,y,z'
loop_
_atom_site_label
_atom_site_type_symbol
_atom_site_fract_x
_atom_site_fract_y
_atom_site_fract_z
Th1 Th 0.7592 0.4657 0.6947
Th2 Th 0.0609 0.0327 0.3076
Th3 Th 0.2461 0.5393 0.3048
Th4 Th 0.9451 0.9609 0.6890
P1 P 0.0894 0.2512 0.9980
P2 P 0.9002 0.7499 0.9976
P3 P 0.6001 0.1868 0.3771
P4 P 0.2250 0.3123 0.6207
P5 P 0.4028 0.8147 0.6254
P6 P 0.7775 0.6836 0.3786
Pb1 Pb 0.5723 0.1263 0.9415
O1 O 0.7253 0.1561 0.2693
O2 O 0.4613 0.3331 0.7192
O3 O 0.2794 0.8540 0.7330
O4 O 0.5417 0.6574 0.2885
O5 O 0.7381 0.1703 0.5475
O6 O 0.1777 0.3325 0.4497
O7 O 0.2716 0.8282 0.4540
O8 O 0.8316 0.6703 0.5539
O9 O 0.5517 0.3758 0.4063
O10 O 0.1516 0.1215 0.5928
O11 O 0.4569 0.6286 0.6027
O12 O 0.8529 0.8736 0.4044
O13 O 0.2162 0.4201 0.0465
O14 O 0.2044 0.1029 0.9436
O15 O 0.7680 0.5827 0.9477
O16 O 0.7936 0.9094 0.0442
O17 O 0.3961 0.0748 0.3126
O18 O 0.0944 0.4202 0.6968
O19 O 0.6028 0.9366 0.6973
O20 O 0.9087 0.5718 0.3064
O21 O 0.8788 0.2373 0.8530
O22 O 0.0336 0.2321 0.1404
O23 O 0.0965 0.7583 0.1503
O24 O 0.9558 0.7619 0.8533
# - ΔE_f (raw): -2853 meV/atom
# - D(E_F): 0.00 states/eV/atom
# - Electronic total energy: -297.00 eV/f.u.
# - Calculated volume: 477 Å³/f.u.

Entry 4:
# TlPPbO2, optimized geometry, DFT PBEsol
data_TlPPbO2
_space_group_name_H-M_alt 'P 1'
_space_group_IT_number 1
_cell_length_a 4.2129
_cell_length_b 4.2129
_cell_length_c 5.1627
_cell_angle_alpha 90.00
_cell_angle_beta 90.00
_cell_angle_gamma 90.00
loop_
_space_group_symop_operation_xyz
'x,y,z'
loop_
_atom_site_label
_atom_site_type_symbol
_atom_site_fract_x
_atom_site_fract_y
_atom_site_fract_z
Pb1 Pb 0.5000 0.5000 0.5000
P1 P 0.0000 0.0000 0.5000
Tl1 Tl 0.0000 0.0000 0.0000
O1 O 0.0000 0.5000 0.0000
O2 O 0.5000 0.0000 0.0000
# - ΔE_f (raw): 199 meV/atom
# - D(E_F): 0.81 states/eV/atom
# - Electronic total energy: -21.92 eV/f.u.
# - Calculated volume: 92 Å³/f.u.

Entry 5:
# VPPbO6, optimized geometry, DFT PBEsol
data_VPPbO6
_space_group_name_H-M_alt 'P 1'
_space_group_IT_number 1
_cell_length_a 5.5550
_cell_length_b 8.4769
_cell_length_c 9.7991
_cell_angle_alpha 90.00
_cell_angle_beta 90.00
_cell_angle_gamma 91.28
loop_
_space_group_symop_operation_xyz
'x,y,z'
loop_
_atom_site_label
_atom_site_type_symbol
_atom_site_fract_x
_atom_site_fract_y
_atom_site_fract_z
V1 V 0.6562 0.5881 0.5905
V2 V 0.3438 0.9119 0.0905
V3 V 0.3438 0.4119 0.4095
V4 V 0.6562 0.0881 0.9095
P1 P 0.3406 0.7874 0.3926
P2 P 0.6594 0.7126 0.8926
P3 P 0.6594 0.2126 0.6074
P4 P 0.3406 0.2874 0.1074
Pb1 Pb 0.1253 0.9276 0.6880
Pb2 Pb 0.8747 0.5724 0.1880
Pb3 Pb 0.8747 0.0724 0.3120
Pb4 Pb 0.1253 0.4276 0.8120
O1 O 0.7415 0.3800 0.6606
O2 O 0.2585 0.1200 0.1606
O3 O 0.2585 0.6200 0.3394
O4 O 0.7415 0.8800 0.8394
O5 O 0.4817 0.7718 0.5302
O6 O 0.5183 0.7282 0.0302
O7 O 0.5183 0.2282 0.4698
O8 O 0.4817 0.2718 0.9698
O9 O 0.4967 0.6354 0.7817
O10 O 0.5033 0.8646 0.2817
O11 O 0.5033 0.3646 0.2183
O12 O 0.4967 0.1354 0.7183
O13 O 0.9154 0.6683 0.6376
O14 O 0.0846 0.8317 0.1376
O15 O 0.0846 0.3317 0.3624
O16 O 0.9154 0.1683 0.8624
O17 O 0.3157 0.4709 0.5734
O18 O 0.6843 0.0291 0.0734
O19 O 0.6843 0.5291 0.4266
O20 O 0.3157 0.9709 0.9266
O21 O 0.1228 0.8878 0.4278
O22 O 0.8772 0.6122 0.9278
O23 O 0.8772 0.1122 0.5722
O24 O 0.1228 0.3878 0.0722
# - ΔE_f (raw): -2108 meV/atom
# - D(E_F): 0.00 states/eV/atom
# - Electronic total energy: -69.89 eV/f.u.
# - Calculated volume: 115 Å³/f.u.

Entry 6:
# VP2PbO8, optimized geometry, DFT PBEsol
data_VP2PbO8
_space_group_name_H-M_alt 'P 1'
_space_group_IT_number 1
_cell_length_a 7.4534
_cell_length_b 8.8606
_cell_length_c 9.1755
_cell_angle_alpha 90.00
_cell_angle_beta 90.00
_cell_angle_gamma 90.00
loop_
_space_group_symop_operation_xyz
'x,y,z'
loop_
_atom_site_label
_atom_site_type_symbol
_atom_site_fract_x
_atom_site_fract_y
_atom_site_fract_z
V1 V 0.2819 0.7495 0.4959
V2 V 0.7181 0.2495 0.0041
V3 V 0.7819 0.7505 0.5041
V4 V 0.2181 0.2505 0.9959
P1 P 0.2013 0.9696 0.7766
P2 P 0.7987 0.4696 0.7234
P3 P 0.7013 0.5304 0.2234
P4 P 0.2987 0.0304 0.2766
P5 P 0.3006 0.5293 0.2235
P6 P 0.6994 0.0293 0.2765
P7 P 0.8006 0.9707 0.7765
P8 P 0.1994 0.4707 0.7235
Pb1 Pb 0.4984 0.1831 0.5984
Pb2 Pb 0.5016 0.6831 0.9016
Pb3 Pb 0.9984 0.3169 0.4016
Pb4 Pb 0.0016 0.8169 0.0984
O1 O 0.0012 0.0176 0.7330
O2 O 0.9988 0.5176 0.7670
O3 O 0.5012 0.4824 0.2670
O4 O 0.4988 0.9824 0.2330
O5 O 0.4978 0.7458 0.4639
O6 O 0.5022 0.2458 0.0361
O7 O 0.9978 0.7542 0.5361
O8 O 0.0022 0.2542 0.9639
O9 O 0.2957 0.9288 0.6326
O10 O 0.7043 0.4288 0.8674
O11 O 0.7957 0.5712 0.3674
O12 O 0.2043 0.0712 0.1326
O13 O 0.2097 0.5743 0.3682
O14 O 0.7903 0.0743 0.1318
O15 O 0.7097 0.9257 0.6318
O16 O 0.2903 0.4257 0.8682
O17 O 0.1982 0.8431 0.8870
O18 O 0.8018 0.3431 0.6130
O19 O 0.6982 0.6569 0.1130
O20 O 0.3018 0.1569 0.3870
O21 O 0.3029 0.6544 0.1114
O22 O 0.6971 0.1544 0.3886
O23 O 0.8029 0.8456 0.8886
O24 O 0.1971 0.3456 0.6114
O25 O 0.2897 0.6163 0.6705
O26 O 0.7103 0.1163 0.8295
O27 O 0.7897 0.8837 0.3295
O28 O 0.2103 0.3837 0.1705
O29 O 0.2102 0.8849 0.3334
O30 O 0.7898 0.3849 0.1666
O31 O 0.7102 0.6151 0.6666
O32 O 0.2898 0.1151 0.8334
# - ΔE_f (raw): -2132 meV/atom
# - D(E_F): 0.04 states/eV/atom
# - Electronic total energy: -92.80 eV/f.u.
# - Calculated volume: 151 Å³/f.u.

Entry 7:
# P2Pd2O7, optimized geometry, DFT PBEsol
data_P2Pd2O7
_space_group_name_H-M_alt 'P 1'
_space_group_IT_number 1
_cell_length_a 5.4129
_cell_length_b 7.0895
_cell_length_c 7.8981
_cell_angle_alpha 97.65
_cell_angle_beta 90.00
_cell_angle_gamma 112.44
loop_
_space_group_symop_operation_xyz
'x,y,z'
loop_
_atom_site_label
_atom_site_type_symbol
_atom_site_fract_x
_atom_site_fract_y
_atom_site_fract_z
P1 P 0.7401 0.2203 0.2700
P2 P 0.2599 0.7797 0.7300
P3 P 0.5197 0.7797 0.2300
P4 P 0.4803 0.2203 0.7700
Pd1 Pd 0.0000 0.5000 0.0000
Pd2 Pd 0.5000 0.5000 0.5000
Pd3 Pd 0.0000 0.0000 0.5000
Pd4 Pd 0.0000 0.0000 0.0000
O1 O 0.4917 0.0000 0.2500
O2 O 0.6280 0.3865 0.2902
O3 O 0.5083 0.0000 0.7500
O4 O 0.2988 0.2272 0.9153
O5 O 0.1381 0.7774 0.9123
O6 O 0.0716 0.7728 0.5847
O7 O 0.7012 0.7728 0.0847
O8 O 0.6393 0.7774 0.4123
O9 O 0.8619 0.2226 0.0877
O10 O 0.7585 0.3865 0.7902
O11 O 0.3720 0.6135 0.7098
O12 O 0.3607 0.2226 0.5877
O13 O 0.2415 0.6135 0.2098
O14 O 0.9284 0.2272 0.4153
# - ΔE_f (raw): -1474 meV/atom
# - Electronic total energy: -76.46 eV/f.u.
# - Calculated volume: 139 Å³/f.u.

Entry 8:
# SbP2PdO, optimized geometry, DFT PBEsol
data_SbP2PdO
_space_group_name_H-M_alt 'P 1'
_space_group_IT_number 1
_cell_length_a 3.7816
_cell_length_b 4.7552
_cell_length_c 4.7552
_cell_angle_alpha 90.00
_cell_angle_beta 90.00
_cell_angle_gamma 90.00
loop_
_space_group_symop_operation_xyz
'x,y,z'
loop_
_atom_site_label
_atom_site_type_symbol
_atom_site_fract_x
_atom_site_fract_y
_atom_site_fract_z
Sb1 Sb 0.5000 0.5000 0.5000
O1 O 0.5000 0.0000 0.0000
Pd1 Pd 0.0000 0.0000 0.0000
P1 P 0.0000 0.0000 0.5000
P2 P 0.0000 0.5000 0.0000
# - ΔE_f (raw): 290 meV/atom
# - D(E_F): 0.74 states/eV/atom
# - Electronic total energy: -25.90 eV/f.u.
# - Calculated volume: 86 Å³/f.u.

Entry 9:
# SnP2PdO, optimized geometry, DFT PBEsol
data_SnP2PdO
_space_group_name_H-M_alt 'P 1'
_space_group_IT_number 1
_cell_length_a 3.7753
_cell_length_b 4.7849
_cell_length_c 4.7849
_cell_angle_alpha 90.00
_cell_angle_beta 90.00
_cell_angle_gamma 90.00
loop_
_space_group_symop_operation_xyz
'x,y,z'
loop_
_atom_site_label
_atom_site_type_symbol
_atom_site_fract_x
_atom_site_fract_y
_atom_site_fract_z
O1 O 0.5000 0.0000 0.0000
P1 P 0.0000 0.0000 0.5000
P2 P 0.0000 0.5000 0.0000
Sn1 Sn 0.5000 0.5000 0.5000
Pd1 Pd 0.0000 0.0000 0.0000
# - ΔE_f (raw): 266 meV/atom
# - D(E_F): 0.77 states/eV/atom
# - Electronic total energy: -25.72 eV/f.u.
# - Calculated volume: 86 Å³/f.u.

Entry 10:
# SrP2PdO, optimized geometry, DFT PBEsol
data_SrP2PdO
_space_group_name_H-M_alt 'P 1'
_space_group_IT_number 1
_cell_length_a 4.4160
_cell_length_b 4.5814
_cell_length_c 4.5814
_cell_angle_alpha 90.00
_cell_angle_beta 90.00
_cell_angle_gamma 90.00
loop_
_space_group_symop_operation_xyz
'x,y,z'
loop_
_atom_site_label
_atom_site_type_symbol
_atom_site_fract_x
_atom_site_fract_y
_atom_site_fract_z
Sr1 Sr 0.5000 0.5000 0.5000
O1 O 0.5000 0.0000 0.0000
Pd1 Pd 0.0000 0.0000 0.0000
P1 P 0.0000 0.0000 0.5000
P2 P 0.0000 0.5000 0.0000
# - ΔE_f (raw): -233 meV/atom
# - D(E_F): 0.78 states/eV/atom
# - Electronic total energy: -25.80 eV/f.u.
# - Calculated volume: 93 Å³/f.u.

Entry 11:
# SrP2PdO7, optimized geometry, DFT PBEsol
data_SrP2PdO7
_space_group_name_H-M_alt 'P 1'
_space_group_IT_number 1
_cell_length_a 5.9593
_cell_length_b 7.4149
_cell_length_c 13.3990
_cell_angle_alpha 90.00
_cell_angle_beta 90.00
_cell_angle_gamma 90.00
loop_
_space_group_symop_operation_xyz
'x,y,z'
loop_
_atom_site_label
_atom_site_type_symbol
_atom_site_fract_x
_atom_site_fract_y
_atom_site_fract_z
Sr1 Sr 0.2500 0.7493 0.2490
Sr2 Sr 0.7500 0.2507 0.7510
Sr3 Sr 0.7500 0.2493 0.2510
Sr4 Sr 0.2500 0.7507 0.7490
P1 P 0.2500 0.2998 0.1084
P2 P 0.7500 0.7002 0.8916
P3 P 0.7500 0.7998 0.3916
P4 P 0.2500 0.2002 0.6084
P5 P 0.2500 0.1960 0.3952
P6 P 0.7500 0.8040 0.6048
P7 P 0.7500 0.6960 0.1048
P8 P 0.2500 0.3040 0.8952
Pd1 Pd 0.0000 0.0000 0.0000
Pd2 Pd 0.0000 0.5000 0.5000
Pd3 Pd 0.5000 0.0000 0.0000
Pd4 Pd 0.5000 0.5000 0.5000
O1 O 0.2500 0.0578 0.3143
O2 O 0.7500 0.9422 0.6857
O3 O 0.7500 0.5578 0.1857
O4 O 0.2500 0.4422 0.8143
O5 O 0.2500 0.4044 0.0025
O6 O 0.7500 0.5956 0.9975
O7 O 0.7500 0.9044 0.4975
O8 O 0.2500 0.0956 0.5025
O9 O 0.2500 0.4352 0.1908
O10 O 0.7500 0.5648 0.8092
O11 O 0.7500 0.9352 0.3092
O12 O 0.2500 0.0648 0.6908
O13 O 0.0326 0.3118 0.3927
O14 O 0.9674 0.6882 0.6073
O15 O 0.9674 0.8118 0.1073
O16 O 0.5326 0.6882 0.6073
O17 O 0.0326 0.1882 0.8927
O18 O 0.4674 0.3118 0.3927
O19 O 0.4674 0.1882 0.8927
O20 O 0.5326 0.8118 0.1073
O21 O 0.0330 0.1835 0.1098
O22 O 0.9670 0.8165 0.8902
O23 O 0.9670 0.6835 0.3902
O24 O 0.5330 0.8165 0.8902
O25 O 0.0330 0.3165 0.6098
O26 O 0.4670 0.1835 0.1098
O27 O 0.4670 0.3165 0.6098
O28 O 0.5330 0.6835 0.3902
# - ΔE_f (raw): -2185 meV/atom
# - Electronic total energy: -80.17 eV/f.u.
# - Calculated volume: 148 Å³/f.u.

Entry 12:
# TaP2PdO, optimized geometry, DFT PBEsol
data_TaP2PdO
_space_group_name_H-M_alt 'P 1'
_space_group_IT_number 1
_cell_length_a 3.7342
_cell_length_b 4.5734
_cell_length_c 4.5734
_cell_angle_alpha 90.00
_cell_angle_beta 90.00
_cell_angle_gamma 90.00
loop_
_space_group_symop_operation_xyz
'x,y,z'
loop_
_atom_site_label
_atom_site_type_symbol
_atom_site_fract_x
_atom_site_fract_y
_atom_site_fract_z
P1 P 0.0000 0.0000 0.5000
P2 P 0.0000 0.5000 0.0000
O1 O 0.5000 0.0000 0.0000
Pd1 Pd 0.0000 0.0000 0.0000
Ta1 Ta 0.5000 0.5000 0.5000
# - ΔE_f (raw): 532 meV/atom
# - D(E_F): 0.81 states/eV/atom
# - Electronic total energy: -32.68 eV/f.u.
# - Calculated volume: 78 Å³/f.u.